Below is crystalline PmSm2Hg at its relaxed geometry, with properties calculated at the PBE-GGA level.

POSCAR file:
```
PmSm2Hg
1.0
-1.873 0.497 3.162
0.875 -1.988 3.006
6.697 7.088 5.026
Sm Pm Hg
2 1 1
Cartesian
1.253 1.214 2.726
5.111 5.377 4.356
2.851 2.800 5.597
-0.664 -0.994 4.112
```

***

Below is crystalline Pm3SmHg2 at its relaxed geometry, with properties calculated at the PBE-GGA level.

POSCAR file:
```
Pm3SmHg2
1.0
-1.770 0.347 -4.933
-3.532 -6.195 0.832
-7.660 4.781 3.085
Sm Hg Pm
2 4 6
Cartesian
-4.336 2.213 -1.085
-6.956 -0.351 -0.325
-5.912 1.459 2.224
-2.862 -0.563 -1.809
-9.991 -0.314 0.767
-5.391 -3.067 1.719
-8.076 -1.910 2.764
-3.663 -0.464 1.282
-7.822 3.056 0.225
-8.952 1.500 3.318
-3.912 -5.845 0.993
-4.591 -3.160 -1.371
```

***

Below is crystalline Pm2SmHg8 at its relaxed geometry, with properties calculated at the PBE-GGA level.

POSCAR file:
```
Pm2SmHg8
1.0
-3.575 -1.813 -3.309
0.772 -6.850 2.919
-3.889 5.821 5.094
Hg Pm Sm
8 2 1
Cartesian
-3.584 -0.387 4.084
-3.107 -2.455 0.620
-5.030 -3.311 3.166
-1.661 0.468 1.538
-6.914 -0.867 3.862
-2.783 -5.339 1.850
-3.908 2.497 2.854
0.223 -1.976 0.842
-1.659 -2.849 3.353
-5.033 0.007 1.351
-1.787 -0.907 -1.654
```

***

| no. | polymorph energy (0 for the lowest one) (eV per formula unit) | M_tot (μB/f.u.) | ΔE_f (kJ/mol of atoms) |
| --- | --- | --- | --- |
| 1 | 0.339 | 0.00 | -13.8 |
| 2 | 0.000 | 0.00 | -32.3 |
| 3 | 0.108 | 0.00 | -32.9 |